# YScMo2, PBEsol geometry, DFT SCAN
# Total moment in μB/cell: 0.0
# Excess energy over the best structure of this formula in the dataset in eV/f.u.: 1.653
# Energy relative to the elements in eV/atom: 0.4987
data_YScMo2
_cell_length_a 5.608
_cell_length_b 9.577
_cell_length_c 2.807
_cell_angle_alpha 90.00
_cell_angle_beta 90.00
_cell_angle_gamma 90.00
_symmetry_space_group_name_H-M 'C m m m'
_symmetry_Int_Tables_number 65
_symmetry_space_group_name_Hall '-C 2 2'
loop_
_atom_site_label
_atom_site_type_symbol
_atom_site_fract_x
_atom_site_fract_y
_atom_site_fract_z
Y1 Y 0.000 0.000 0.000
Sc1 Sc 0.000 0.500 0.000
Mo1 Mo 0.250 0.250 0.500


# Sb2IrSe, PBEsol geometry, DFT SCAN
# Total moment in μB/cell: 0.0
# Formation energy from raw total energies in kcal/mol of atoms: 4.27
data_Sb2IrSe
_cell_length_a 3.225
_cell_length_b 4.500
_cell_length_c 11.975
_cell_angle_alpha 90.00
_cell_angle_beta 90.00
_cell_angle_gamma 90.00
_symmetry_space_group_name_H-M 'I m m m'
_symmetry_Int_Tables_number 71
_symmetry_space_group_name_Hall '-I 2 2'
loop_
_atom_site_label
_atom_site_type_symbol
_atom_site_fract_x
_atom_site_fract_y
_atom_site_fract_z
Sb1 Sb 0.000 0.000 0.181
Ir1 Ir 0.000 0.500 0.500
Se1 Se 0.000 0.500 0.000


# Re2MoSe, PBEsol geometry, DFT SCAN
# Total moment in μB/cell: 0.0
# Formation energy from raw total energies in kcal/mol of atoms: 15.05
data_Re2MoSe
_cell_length_a 4.527
_cell_length_b 2.861
_cell_length_c 5.160
_cell_angle_alpha 90.00
_cell_angle_beta 114.35
_cell_angle_gamma 90.00
_symmetry_space_group_name_H-M 'P 1 2/m 1'
_symmetry_Int_Tables_number 10
_symmetry_space_group_name_Hall '-P 2y'
loop_
_atom_site_label
_atom_site_type_symbol
_atom_site_fract_x
_atom_site_fract_y
_atom_site_fract_z
Re1 Re 0.000 0.000 0.000
Re2 Re 0.500 0.500 0.000
Mo1 Mo 0.000 0.500 0.500
Se1 Se 0.500 0.000 0.500


# ZnIr2Os, PBEsol geometry, DFT SCAN
# Total moment in μB/cell: 0.0
# Energy relative to the elements in eV/atom: -0.1014
data_ZnIr2Os
_cell_length_a 2.732
_cell_length_b 2.732
_cell_length_c 7.421
_cell_angle_alpha 90.00
_cell_angle_beta 90.00
_cell_angle_gamma 90.00
_symmetry_space_group_name_H-M 'P 4/m m m'
_symmetry_Int_Tables_number 123
_symmetry_space_group_name_Hall '-P 4 2'
loop_
_atom_site_label
_atom_site_type_symbol
_atom_site_fract_x
_atom_site_fract_y
_atom_site_fract_z
Zn1 Zn 0.000 0.000 0.000
Ir1 Ir 0.500 0.500 0.253
Os1 Os 0.000 0.000 0.500


# LiCo5O8, PBEsol geometry, DFT SCAN
# Total moment in μB/cell: 32.2
# Formation energy from raw total energies in kcal/mol of atoms: -34.15
data_LiCo5O8
_cell_length_a 7.954
_cell_length_b 7.954
_cell_length_c 7.954
_cell_angle_alpha 90.00
_cell_angle_beta 90.00
_cell_angle_gamma 90.00
_symmetry_space_group_name_H-M 'P 43 3 2'
_symmetry_Int_Tables_number 212
_symmetry_space_group_name_Hall 'P 4acd 2ab 3'
loop_
_atom_site_label
_atom_site_type_symbol
_atom_site_fract_x
_atom_site_fract_y
_atom_site_fract_z
Li1 Li 0.125 0.125 0.125
Co1 Co 0.004 0.996 0.496
Co2 Co 0.125 0.375 0.375
O1 O 0.108 0.870 0.111
O2 O 0.115 0.385 0.615


# Li2POs, PBEsol geometry, DFT SCAN
# Total moment in μB/cell: 0.0
# Energy relative to the elements in eV/atom: -0.1556
data_Li2POs
_cell_length_a 2.768
_cell_length_b 4.290
_cell_length_c 4.519
_cell_angle_alpha 90.00
_cell_angle_beta 106.97
_cell_angle_gamma 90.00
_symmetry_space_group_name_H-M 'P 1 2/m 1'
_symmetry_Int_Tables_number 10
_symmetry_space_group_name_Hall '-P 2y'
loop_
_atom_site_label
_atom_site_type_symbol
_atom_site_fract_x
_atom_site_fract_y
_atom_site_fract_z
Li1 Li 0.098 0.000 0.252
P1 P 0.500 0.500 0.500
Os1 Os 0.500 0.500 0.000


Number 1: mass density 7.2 g/cm³. Number 2: mass density 9.8 g/cm³. Number 3: mass density 14.9 g/cm³. Number 4: mass density 19.2 g/cm³. Number 5: mass density 5.7 g/cm³. Number 6: mass density 7.6 g/cm³.